Below is an optimized crystal structure of InCuSi, with properties calculated at the GGA-PBE level.

Summary:
Volume, Å³/f.u.: 55
E, eV per atom: -3.89
N(E_F), states/eV/f.u.: 1.7
ΔE_f (raw), eV per atom: 0.197

Cell lengths 4.033, 4.033, 3.915 Å; angles 90.00, 90.00, 120.00 degrees
Fractional coordinates of all 3 atoms:
In 0.000 0.000 0.000
Cu 0.333 0.667 0.500
Si 0.667 0.333 0.500